VASP calculation (PBE) on a relaxed KP2RhO8 crystal.

```
12
Lattice="-3.055 3.454 2.412 -4.922 -1.238 1.153 -0.184 -2.226 8.571" Properties=species:S:1:pos:R:3 pbc="T T T"
K 0.000 0.000 0.000
P -6.236 0.131 8.758
P -1.925 -0.140 3.377
Rh -4.080 -0.005 6.068
O -5.787 -0.407 10.096
O -2.374 0.397 2.039
O -3.076 0.044 4.395
O -5.085 -0.054 7.740
O -3.521 -1.823 6.506
O -5.596 -0.589 4.985
O -4.640 1.813 5.629
O -2.565 0.580 7.150
```

Output
The symmetry is R-3m. Its total energy is -78.1 eV/f.u. Its total moment is 0.000 Bohr magnetons per cell.


VASP calculation (PBE) on a relaxed Sm2DyEr crystal.

```
4
Lattice="-5.138 2.253 -0.988 -2.045 0.208 -5.313 -4.341 -3.363 -1.515" Properties=species:S:1:pos:R:3 pbc="T T T"
Dy 0.000 0.000 0.000
Sm -2.881 -0.226 -1.954
Sm -8.643 -0.677 -5.862
Er -5.762 -0.451 -3.908
```

Output
The value obtained for the excess energy over the best structure of this formula in the dataset is 112 meV/atom. The formation energy is 49 kJ/mol of formula units. The symmetry is Fm-3m. Its total energy is -18.1 eV/f.u. Its total moment is 0.000 Bohr magnetons per cell.


VASP calculation (PBE) on a relaxed HoInPt2 crystal.

```
8
Lattice="-2.468 1.893 3.632 -2.308 -2.121 -3.611 0.364 -7.268 4.036" Properties=species:S:1:pos:R:3 pbc="T T T"
Ho 0.000 0.000 0.000
Ho 0.182 -3.634 2.018
In -2.142 -4.896 4.244
In -2.270 -2.600 -0.188
Pt -2.265 -2.426 2.873
Pt -2.147 -5.069 1.183
Pt -2.030 -7.398 2.476
Pt -2.382 -0.098 1.580
```

Output
The formation energy is -327 kJ/mol of formula units. The symmetry is P6_3/mmc. Its total energy is -22.8 eV/f.u. Its total moment is 0.000 Bohr magnetons per cell.


VASP calculation (PBE) on a relaxed In2FeSb crystal.

```
4
Lattice="9.042 -0.010 -0.006 8.385 3.383 -0.006 8.385 1.623 2.968" Properties=species:S:1:pos:R:3 pbc="T T T"
Fe 19.423 3.760 2.225
In 0.383 0.074 0.044
In 6.461 1.251 0.740
Sb 12.451 2.410 1.426
```

Output
The symmetry is R3m. Its total energy is -17.3 eV/f.u. Its total moment is 1.995 Bohr magnetons per cell.


VASP calculation (PBE) on a relaxed Ba2LiAl5 crystal.

```
16
Lattice="-3.175 -1.177 -3.241 -4.035 -2.081 8.099 -3.835 9.139 0.438" Properties=species:S:1:pos:R:3 pbc="T T T"
Ba -7.885 4.641 2.649
Ba -3.161 1.239 2.646
Ba 0.000 0.000 0.000
Ba -1.917 4.569 0.219
Li -7.908 4.465 6.125
Li -3.138 1.415 -0.830
Al -5.544 7.094 2.855
Al -5.501 -1.214 2.441
Al -4.490 4.581 2.735
Al -6.556 1.299 2.561
Al -7.678 7.179 4.915
Al -3.367 -1.299 0.381
Al -5.855 2.834 4.707
Al -5.191 3.046 0.589
Al -5.692 5.682 0.123
Al -5.353 0.198 5.172
```

Output
The formation energy is -125 kJ/mol of formula units. The symmetry is Cmcm. Its total energy is -25.8 eV/f.u. Its total moment is 0.556 Bohr magnetons per cell.


VASP calculation (PBE) on a relaxed Na4Pr3ZrTe8 crystal.

```
16
Lattice="-6.669 0.227 5.927 -5.428 -4.469 -5.936 7.849 -3.603 2.251" Properties=species:S:1:pos:R:3 pbc="T T T"
Na -3.334 0.114 2.963
Na 0.590 -1.688 4.089
Na 0.000 0.000 0.000
Na 3.925 -1.801 1.125
Pr -6.048 -2.121 -0.005
Pr -2.124 -3.922 1.121
Pr 1.211 -4.036 -1.843
Zr -2.714 -2.234 -2.968
Te 2.296 -6.828 -0.716
Te -1.864 -4.919 -1.909
Te 0.891 -2.886 1.113
Te -1.238 -6.707 2.425
Te -3.009 -1.137 -0.184
Te -5.138 -4.958 1.129
Te -2.383 -2.925 4.150
Te -6.543 -1.016 2.957
```

Output
The symmetry is R-3m. Its total energy is -72.5 eV/f.u. Its total moment is 0.279 Bohr magnetons per cell.


VASP calculation (PBE) on a relaxed SmHoPa2Rh4 crystal.

```
8
Lattice="5.643 0.568 0.000 -0.049 5.671 0.000 -2.797 -3.120 5.473" Properties=species:S:1:pos:R:3 pbc="T T T"
Sm 5.195 5.794 0.000
Ho 2.866 3.196 0.000
Pa -0.520 2.283 2.736
Pa 2.326 -0.269 2.736
Rh 0.090 2.342 0.000
Rh 2.319 0.343 0.000
Rh -0.551 -0.614 2.910
Rh 2.247 2.505 2.562
```

Output
The formation energy is -535 kJ/mol of formula units. The symmetry is Fmm2. Its total energy is -63.2 eV/f.u. Its total moment is 0.000 Bohr magnetons per cell.


VASP calculation (PBE) on a relaxed V3CrGe4 crystal.

```
16
Lattice="4.875 0.000 0.000 0.000 7.555 0.000 0.000 0.000 8.446" Properties=species:S:1:pos:R:3 pbc="T T T"
V 2.763 6.319 0.000
V 0.330 5.023 2.097
V 2.768 2.532 2.126
V 0.325 1.237 4.223
V 2.768 2.532 6.320
V 0.330 5.023 6.349
Cr 0.270 1.254 0.000
Cr 2.708 6.301 4.223
Ge 0.324 6.333 0.000
Ge 2.712 1.255 0.000
Ge 0.329 2.548 2.132
Ge 2.766 5.007 2.091
Ge 0.275 6.301 4.223
Ge 2.762 1.222 4.223
Ge 2.766 5.007 6.355
Ge 0.329 2.548 6.314
```

Output
The formation energy is 274 kJ/mol of formula units. The symmetry is Pmn2_1. Its total energy is -52.6 eV/f.u. Its total moment is 8.502 Bohr magnetons per cell.